a.
The following is a DFT calculation (PBE with a Hubbard U) of a relaxed ScCoF2 crystal.

extended XYZ file:
```
4
Lattice="1.752 1.011 5.802 -1.752 1.011 5.802 0.000 -2.023 5.802" Properties=species:S:1:pos:R:3 pbc="T T T"
Sc 0.000 0.000 0.000
Co 0.000 0.000 8.704
F 0.000 0.000 2.036
F 0.000 0.000 15.372
```

## Properties
space-group type: No. 166
calculated density: 3.82 Mg/m³



b.
The following is a DFT calculation (PBE with a Hubbard U) of a relaxed ScCoF2 crystal.

extended XYZ file:
```
8
Lattice="-1.983 1.983 7.137 1.983 -1.983 7.137 1.983 1.983 -7.137" Properties=species:S:1:pos:R:3 pbc="T T T"
Sc 0.000 0.000 0.000
Sc 0.000 1.983 3.568
Co 1.983 0.000 3.568
Co 0.000 0.000 7.137
F 2.975 0.793 -1.784
F 0.793 0.992 1.784
F -0.992 1.190 5.353
F 1.190 0.992 8.921
```

## Properties
space-group type: No. 122
calculated density: 4.20 Mg/m³



c.
The following is a DFT calculation (PBE with a Hubbard U) of a relaxed ScCoF2 crystal.

extended XYZ file:
```
4
Lattice="0.000 2.965 2.965 2.965 0.000 2.965 2.965 2.965 0.000" Properties=species:S:1:pos:R:3 pbc="T T T"
Sc 0.000 0.000 0.000
Co 2.965 2.965 2.965
F 1.482 1.482 1.482
F 4.447 4.447 4.447
```

## Properties
space-group type: No. 225
calculated density: 4.52 Mg/m³



Of them, a has the highest stability.



a.
The following is a DFT calculation (PBE with a Hubbard U) of a relaxed ScCo3F crystal.

extended XYZ file:
```
5
Lattice="4.194 0.000 0.000 0.000 4.194 0.000 0.000 0.000 4.194" Properties=species:S:1:pos:R:3 pbc="T T T"
Sc 0.000 0.000 0.000
Co 0.000 2.097 2.097
Co 2.097 0.000 2.097
Co 2.097 2.097 0.000
F 2.097 2.097 2.097
```

## Properties
space-group type: No. 221
calculated density: 5.42 Mg/m³



b.
The following is a DFT calculation (PBE with a Hubbard U) of a relaxed ScCo3F crystal.

extended XYZ file:
```
5
Lattice="4.546 0.000 0.000 0.000 4.546 0.000 0.000 0.000 4.546" Properties=species:S:1:pos:R:3 pbc="T T T"
Sc 0.000 0.000 0.000
Co 0.000 0.000 2.273
Co 0.000 2.273 0.000
Co 2.273 0.000 0.000
F 2.273 2.273 2.273
```

## Properties
space-group type: No. 221
calculated density: 4.25 Mg/m³



Of them, a has the highest stability.



a.
The following is a DFT calculation (PBE with a Hubbard U) of a relaxed CoSe2F crystal.

extended XYZ file:
```
4
Lattice="1.836 1.060 6.525 -1.836 1.060 6.525 0.000 -2.120 6.525" Properties=species:S:1:pos:R:3 pbc="T T T"
Co 0.000 0.000 0.000
Se 0.000 0.000 7.629
Se 0.000 0.000 11.946
F 0.000 0.000 9.787
```

## Properties
space-group type: No. 166
calculated density: 5.14 Mg/m³



b.
The following is a DFT calculation (PBE with a Hubbard U) of a relaxed CoSe2F crystal.

extended XYZ file:
```
8
Lattice="-2.815 2.815 5.011 2.815 -2.815 5.011 2.815 2.815 -5.011" Properties=species:S:1:pos:R:3 pbc="T T T"
Co 0.000 0.000 0.000
Co 0.000 2.815 2.505
Se 4.222 1.102 -1.253
Se 1.102 1.407 1.253
Se -1.407 1.713 3.758
Se 1.713 1.407 6.263
F 2.815 0.000 2.505
F 0.000 0.000 5.011
```

## Properties
space-group type: No. 122
calculated density: 4.93 Mg/m³



Of them, a has the highest stability.



a.
The following is a DFT calculation (PBE with a Hubbard U) of a relaxed CoSe2F crystal.

extended XYZ file:
```
4
Lattice="0.000 3.069 3.069 3.069 0.000 3.069 3.069 3.069 0.000" Properties=species:S:1:pos:R:3 pbc="T T T"
Co 0.000 0.000 0.000
Se 1.534 1.534 1.534
Se 4.603 4.603 4.603
F 3.069 3.069 3.069
```

## Properties
space-group type: No. 225
calculated density: 6.78 Mg/m³



b.
The following is a DFT calculation (PBE with a Hubbard U) of a relaxed CoSe2F crystal.

extended XYZ file:
```
4
Lattice="1.446 0.835 8.755 -1.446 0.835 8.755 0.000 -1.670 8.755" Properties=species:S:1:pos:R:3 pbc="T T T"
Co 0.000 0.000 0.000
Se 0.000 0.000 2.341
Se 0.000 0.000 23.923
F 0.000 0.000 13.132
```

## Properties
space-group type: No. 166
calculated density: 6.17 Mg/m³



Of them, a has the highest stability.



a.
The following is a DFT calculation (PBE with a Hubbard U) of a relaxed Co3SeF crystal.

extended XYZ file:
```
5
Lattice="4.230 0.000 0.000 0.000 4.230 0.000 0.000 0.000 4.230" Properties=species:S:1:pos:R:3 pbc="T T T"
Co 0.000 0.000 2.115
Co 0.000 2.115 0.000
Co 2.115 0.000 0.000
Se 2.115 2.115 2.115
F 0.000 0.000 0.000
```

## Properties
space-group type: No. 221
calculated density: 6.03 Mg/m³



b.
The following is a DFT calculation (PBE with a Hubbard U) of a relaxed Co3SeF crystal.

extended XYZ file:
```
5
Lattice="4.479 0.000 0.000 0.000 4.479 0.000 0.000 0.000 4.479" Properties=species:S:1:pos:R:3 pbc="T T T"
Co 0.000 0.000 2.240
Co 0.000 2.240 0.000
Co 2.240 0.000 0.000
Se 0.000 0.000 0.000
F 2.240 2.240 2.240
```

## Properties
space-group type: No. 221
calculated density: 5.08 Mg/m³



Of them, a has the highest stability.



a.
The following is a DFT calculation (PBE with a Hubbard U) of a relaxed CoSe3F crystal.

extended XYZ file:
```
5
Lattice="4.644 0.000 0.000 0.000 4.644 0.000 0.000 0.000 4.644" Properties=species:S:1:pos:R:3 pbc="T T T"
Co 0.000 0.000 0.000
Se 0.000 2.322 2.322
Se 2.322 0.000 2.322
Se 2.322 2.322 0.000
F 2.322 2.322 2.322
```

## Properties
space-group type: No. 221
calculated density: 5.22 Mg/m³



b.
The following is a DFT calculation (PBE with a Hubbard U) of a relaxed CoSe3F crystal.

extended XYZ file:
```
5
Lattice="4.650 0.000 0.000 0.000 4.650 0.000 0.000 0.000 4.650" Properties=species:S:1:pos:R:3 pbc="T T T"
Co 0.000 0.000 0.000
Se 0.000 0.000 2.325
Se 0.000 2.325 0.000
Se 2.325 0.000 0.000
F 2.325 2.325 2.325
```

## Properties
space-group type: No. 221
calculated density: 5.20 Mg/m³



Of them, b has the highest stability.



a.
The following is a DFT calculation (PBE with a Hubbard U) of a relaxed CoSeF3 crystal.

extended XYZ file:
```
5
Lattice="4.413 0.000 0.000 0.000 4.413 0.000 0.000 0.000 4.413" Properties=species:S:1:pos:R:3 pbc="T T T"
Co 0.000 0.000 0.000
Se 2.206 2.206 2.206
F 0.000 2.206 2.206
F 2.206 0.000 2.206
F 2.206 2.206 0.000
```

## Properties
space-group type: No. 221
calculated density: 3.77 Mg/m³



b.
The following is a DFT calculation (PBE with a Hubbard U) of a relaxed CoSeF3 crystal.

extended XYZ file:
```
5
Lattice="4.068 0.000 0.000 0.000 4.068 0.000 0.000 0.000 4.068" Properties=species:S:1:pos:R:3 pbc="T T T"
Co 0.000 0.000 0.000
Se 2.034 2.034 2.034
F 0.000 0.000 2.034
F 0.000 2.034 0.000
F 2.034 0.000 0.000
```

## Properties
space-group type: No. 221
calculated density: 4.81 Mg/m³



Of them, b has the highest stability.



a.
The following is a DFT calculation (PBE with a Hubbard U) of a relaxed CoSiF2 crystal.

extended XYZ file:
```
4
Lattice="0.000 2.977 2.977 2.977 0.000 2.977 2.977 2.977 0.000" Properties=species:S:1:pos:R:3 pbc="T T T"
Co 0.000 0.000 0.000
Si 2.977 2.977 2.977
F 1.488 1.488 1.488
F 4.465 4.465 4.465
```

## Properties
space-group type: No. 225
calculated density: 3.94 Mg/m³



b.
The following is a DFT calculation (PBE with a Hubbard U) of a relaxed CoSiF2 crystal.

extended XYZ file:
```
8
Lattice="-2.786 2.786 4.537 2.786 -2.786 4.537 2.786 2.786 -4.537" Properties=species:S:1:pos:R:3 pbc="T T T"
Co 0.000 0.000 0.000
Co 0.000 2.786 2.269
Si 2.786 0.000 2.269
Si 0.000 0.000 4.537
F 4.178 0.727 -1.134
F 0.727 1.393 1.134
F -1.393 2.058 3.403
F 2.058 1.393 5.672
```

## Properties
space-group type: No. 122
calculated density: 2.95 Mg/m³



c.
The following is a DFT calculation (PBE with a Hubbard U) of a relaxed CoSiF2 crystal.

extended XYZ file:
```
4
Lattice="1.308 0.755 8.165 -1.308 0.755 8.165 0.000 -1.511 8.165" Properties=species:S:1:pos:R:3 pbc="T T T"
Co 0.000 0.000 0.000
Si 0.000 0.000 12.248
F 0.000 0.000 10.553
F 0.000 0.000 13.943
```

## Properties
space-group type: No. 166
calculated density: 4.29 Mg/m³



Of them, c has the highest stability.



a.
The following is a DFT calculation (PBE with a Hubbard U) of a relaxed CoSi2F2 crystal.

extended XYZ file:
```
5
Lattice="4.400 0.000 0.000 0.000 4.400 0.000 0.000 0.000 3.949" Properties=species:S:1:pos:R:3 pbc="T T T"
Co 0.000 0.000 0.000
Si 0.000 2.200 0.000
Si 2.200 0.000 0.000
F 0.000 2.200 1.974
F 2.200 0.000 1.974
```

## Properties
space-group type: No. 123
calculated density: 3.32 Mg/m³



b.
The following is a DFT calculation (PBE with a Hubbard U) of a relaxed CoSi2F2 crystal.

extended XYZ file:
```
5
Lattice="-1.555 1.555 5.801 1.555 -1.555 5.801 1.555 1.555 -5.801" Properties=species:S:1:pos:R:3 pbc="T T T"
Co 0.000 0.000 0.000
Si 0.000 0.000 4.483
Si 0.000 0.000 7.120
F 1.555 0.000 2.901
F 0.000 1.555 2.901
```

## Properties
space-group type: No. 139
calculated density: 4.53 Mg/m³



Of them, a has the highest stability.



a.
The following is a DFT calculation (PBE with a Hubbard U) of a relaxed CoSnF3 crystal.

extended XYZ file:
```
5
Lattice="4.158 0.000 0.000 0.000 4.158 0.000 0.000 0.000 4.158" Properties=species:S:1:pos:R:3 pbc="T T T"
Co 0.000 0.000 0.000
Sn 2.079 2.079 2.079
F 0.000 0.000 2.079
F 0.000 2.079 0.000
F 2.079 0.000 0.000
```

## Properties
space-group type: No. 221
calculated density: 5.42 Mg/m³



b.
The following is a DFT calculation (PBE with a Hubbard U) of a relaxed CoSnF3 crystal.

extended XYZ file:
```
5
Lattice="4.599 0.000 0.000 0.000 4.599 0.000 0.000 0.000 4.599" Properties=species:S:1:pos:R:3 pbc="T T T"
Co 0.000 0.000 0.000
Sn 2.300 2.300 2.300
F 0.000 2.300 2.300
F 2.300 0.000 2.300
F 2.300 2.300 0.000
```

## Properties
space-group type: No. 221
calculated density: 4.00 Mg/m³



Of them, a has the highest stability.



a.
The following is a DFT calculation (PBE with a Hubbard U) of a relaxed CoSnF2 crystal.

extended XYZ file:
```
4
Lattice="1.630 0.941 7.115 -1.630 0.941 7.115 0.000 -1.882 7.115" Properties=species:S:1:pos:R:3 pbc="T T T"
Co 0.000 0.000 0.000
Sn 0.000 0.000 10.672
F 0.000 0.000 8.222
F 0.000 0.000 13.122
```

## Properties
space-group type: No. 166
calculated density: 5.47 Mg/m³



b.
The following is a DFT calculation (PBE with a Hubbard U) of a relaxed CoSnF2 crystal.

extended XYZ file:
```
4
Lattice="0.000 3.154 3.154 3.154 0.000 3.154 3.154 3.154 0.000" Properties=species:S:1:pos:R:3 pbc="T T T"
Co 0.000 0.000 0.000
Sn 3.154 3.154 3.154
F 1.577 1.577 1.577
F 4.731 4.731 4.731
```

## Properties
space-group type: No. 225
calculated density: 5.71 Mg/m³



Of them, a has the highest stability.



a.
The following is a DFT calculation (PBE with a Hubbard U) of a relaxed CoSnF2 crystal.

extended XYZ file:
```
8
Lattice="-1.942 1.942 7.769 1.942 -1.942 7.769 1.942 1.942 -7.769" Properties=species:S:1:pos:R:3 pbc="T T T"
Co 0.000 0.000 0.000
Co 0.000 1.942 3.884
Sn 1.942 0.000 3.884
Sn 0.000 0.000 7.769
F 2.914 0.897 -1.942
F 0.897 0.971 1.942
F -0.971 1.045 5.827
F 1.045 0.971 9.711
```

## Properties
space-group type: No. 122
calculated density: 6.11 Mg/m³



b.
The following is a DFT calculation (PBE with a Hubbard U) of a relaxed CoSnF2 crystal.

extended XYZ file:
```
4
Lattice="1.590 0.918 7.974 -1.590 0.918 7.974 0.000 -1.836 7.974" Properties=species:S:1:pos:R:3 pbc="T T T"
Co 0.000 0.000 0.000
Sn 0.000 0.000 11.961
F 0.000 0.000 1.833
F 0.000 0.000 22.088
```

## Properties
space-group type: No. 166
calculated density: 5.13 Mg/m³



Of them, b has the highest stability.



a.
The following is a DFT calculation (PBE with a Hubbard U) of a relaxed Co2SnF crystal.

extended XYZ file:
```
8
Lattice="-2.326 2.326 6.702 2.326 -2.326 6.702 2.326 2.326 -6.702" Properties=species:S:1:pos:R:3 pbc="T T T"
Co 0.349 1.163 1.676
Co -1.163 1.976 5.027
Co -0.349 3.488 1.676
Co 1.163 2.675 5.027
Sn 2.326 0.000 3.351
Sn 0.000 0.000 6.702
F 0.000 0.000 0.000
F 0.000 2.326 3.351
```

## Properties
space-group type: No. 122
calculated density: 5.85 Mg/m³



b.
The following is a DFT calculation (PBE with a Hubbard U) of a relaxed Co2SnF crystal.

extended XYZ file:
```
4
Lattice="0.000 3.177 3.177 3.177 0.000 3.177 3.177 3.177 0.000" Properties=species:S:1:pos:R:3 pbc="T T T"
Co 1.588 1.588 1.588
Co 4.765 4.765 4.765
Sn 0.000 0.000 0.000
F 3.177 3.177 3.177
```

## Properties
space-group type: No. 225
calculated density: 6.62 Mg/m³



Of them, a has the highest stability.